[1]
An optimized crystal structure of Rb2AgBiF8. Source: Alexandria via LeMat-Bulk, functional PBE-GGA.

Cell and atoms, written as extended XYZ:
```
12
Lattice="4.088 -0.142 -0.028 -0.018 6.548 0.324 -0.004 0.396 8.533" Properties=species:S:1:pos:R:3 pbc="T T T"
Rb 2.013 3.649 6.515
Rb 2.053 3.152 2.315
Ag -0.002 0.198 4.267
Bi 0.000 0.000 0.000
F 0.060 4.819 1.729
F 2.044 5.693 8.358
F 3.969 0.801 2.370
F 4.006 1.983 7.100
F 2.022 1.109 0.472
F 0.097 6.000 6.460
F 2.593 5.309 4.259
F 1.473 1.493 4.571
```

Computed properties:
The theoretical density is 4.66 g cm⁻³. The density of states at the Fermi level is 3.01 states/eV per cell. The calculation puts the total magnetic moment at 0.09 Bohr magnetons per cell. The raw formation energy is -2.106 eV/atom.

---

[2]
An optimized crystal structure of CdAuBr2. Source: Alexandria via LeMat-Bulk, functional PBE-GGA.

Cell and atoms, written as extended XYZ:
```
4
Lattice="-4.005 -1.469 -2.866 0.766 -1.821 -4.744 -0.759 -4.985 -0.992" Properties=species:S:1:pos:R:3 pbc="T T T"
Au -1.999 -4.138 -4.302
Br 0.000 0.000 0.000
Br -2.998 -6.207 -6.452
Cd -0.999 -2.069 -2.151
```

Computed properties:
The theoretical density is 8.12 g cm⁻³. The density of states at the Fermi level is 2.80 states/eV per cell. The calculation puts the total magnetic moment at 0.00 Bohr magnetons per cell. The raw formation energy is 0.197 eV/atom. The calculation puts the energy above the most stable polymorph in this dataset at 0.461 eV/atom.

---

Which formula does entry 2 have?
CdAuBr2

---

Which of these has the lowest raw formation energy?
Rb2AgBiF8

---

Which of these has the lowest theoretical density?
Rb2AgBiF8

---

What is the formula in the second record?
CdAuBr2